This record from Alexandria via LeMat-Bulk describes an optimized crystal structure of CdPdF6. The functional is GGA-PBE.

Computed properties:
Formation energy (no corrections): -1625.8 meV per atom
Crystal system: trigonal

a = 5.196 Å, b = 5.196 Å, c = 9.835 Å
α = 90.00°, β = 90.00°, γ = 120.00°
Positions (direct):
F 0.310 0.301 0.384
F 0.990 0.301 0.116
F 0.010 0.699 0.884
Pd 0.000 0.000 0.500
F 0.990 0.690 0.384
F 0.690 0.699 0.616
F 0.699 0.690 0.116
F 0.310 0.010 0.116
F 0.010 0.310 0.616
F 0.301 0.310 0.884
F 0.699 0.010 0.384
F 0.301 0.990 0.616
Pd 0.000 0.000 0.000
F 0.690 0.990 0.884
Cd 0.667 0.333 0.750
Cd 0.333 0.667 0.250